(1)
{
  "formula": "TbHo3S",
  "functional": "PBE-GGA",
  "state": "optimized geometry",
  "cell": [[5.2747, 0.0000, 0.0000], [0.0000, 5.2747, 0.0000], [0.0000, 0.0000, 5.2747]],
  "species": ["Tb", "Ho", "Ho", "Ho", "S"],
  "frac_coords": [[0.0000, 0.0000, 0.0000], [0.0000, 0.5000, 0.5000], [0.5000, 0.0000, 0.5000], [0.5000, 0.5000, 0.0000], [0.5000, 0.5000, 0.5000]],
  "energy_ev_per_atom": -5.135,
  "formation_energy_uncorrected_ev_per_atom": -0.64,
  "space_group": "Pm-3m, No. 221"
}

(2)
{
  "formula": "BeFe2P",
  "functional": "PBE-GGA",
  "state": "optimized geometry",
  "cell": [[0.0000, 2.6446, 2.6446], [2.6446, 0.0000, 2.6446], [2.6446, 2.6446, 0.0000]],
  "species": ["Be", "Fe", "Fe", "P"],
  "frac_coords": [[0.0000, 0.0000, 0.0000], [0.2500, 0.2500, 0.2500], [0.7500, 0.7500, 0.7500], [0.5000, 0.5000, 0.5000]],
  "formation_enthalpy_0k_ev_per_atom": -0.443,
  "energy_ev_per_atom": -6.958,
  "space_group": "Fm-3m, No. 225"
}

(3)
{
  "formula": "SrCeI5",
  "functional": "PBE-GGA",
  "state": "optimized geometry",
  "cell": [[6.0721, -5.5081, 0.0000], [6.0721, 5.5081, 0.0000], [-5.3203, 0.0000, 11.1145]],
  "species": ["Sr", "Sr", "Ce", "Ce", "I", "I", "I", "I", "I", "I", "I", "I", "I", "I"],
  "frac_coords": [[0.0766, 0.9234, 0.7500], [0.9234, 0.0766, 0.2500], [0.0000, 0.5000, 0.0000], [0.5000, 0.0000, 0.5000], [0.1868, 0.2446, 0.5183], [0.2014, 0.6019, 0.8568], [0.2314, 0.7686, 0.2500], [0.2446, 0.1868, 0.0183], [0.3981, 0.7986, 0.6432], [0.6019, 0.2014, 0.3568], [0.7554, 0.8132, 0.9817], [0.7686, 0.2314, 0.7500], [0.7986, 0.3981, 0.1432], [0.8132, 0.7554, 0.4817]],
  "energy_ev_per_atom": -3.620,
  "formation_energy_uncorrected_ev_per_atom": -1.42,
  "space_group": "C2/c, No. 15"
}

(4)
{
  "formula": "MnCo4Ni",
  "functional": "PBE-GGA",
  "state": "optimized geometry",
  "cell": [[0.0000, 3.2837, 3.2837], [3.2837, 0.0000, 3.2837], [3.2837, 3.2837, 0.0000]],
  "species": ["Mn", "Co", "Co", "Co", "Co", "Ni"],
  "frac_coords": [[0.0000, 0.0000, 0.0000], [0.3753, 0.3753, 0.3753], [0.3753, 0.3753, 0.8742], [0.3753, 0.8742, 0.3753], [0.8742, 0.3753, 0.3753], [0.7500, 0.7500, 0.7500]],
  "formation_enthalpy_0k_ev_per_atom": 0.141,
  "energy_ev_per_atom": -7.088,
  "space_group": "F-43m, No. 216"
}